! Pr3C2I2 (PBE, relaxed); values from VASP
&SYSTEM
  ibrav = 0, nat = 7, ntyp = 3
/
ATOMIC_SPECIES
Pr 140.91 Pr.upf
C 12.01 C.upf
I 126.90 I.upf
CELL_PARAMETERS angstrom
3.802 0.000 0.000
-1.402 6.385 0.000
-1.674 -1.377 7.836
ATOMIC_POSITIONS crystal
Pr 0.000 0.000 0.000
Pr 0.131 0.440 0.795
Pr 0.869 0.560 0.205
C 0.373 0.719 0.050
C 0.627 0.281 0.950
I 0.289 0.216 0.396
I 0.711 0.784 0.604
! Formation energy (no corrections) in eV/atom: -0.430
! V in Å³ per cell: 190